20
Lattice="9.455 0.000 0.000 0.000 9.455 0.000 0.000 0.000 4.306" Properties=species:S:1:pos:R:3 comment="PBE La2AgPd2Pt5, optimized geometry" total_magnetization_mub_per_cell=0.00 delta_e_f_mev_per_atom=-691 spacegroup="P4/mbm, No. 127" pbc="T T T"
La 1.683 3.044 0.000
La 3.044 7.772 0.000
La 6.410 1.683 0.000
La 7.772 6.410 0.000
Ag 0.000 0.000 0.000
Ag 4.727 4.727 0.000
Pd 1.146 5.873 0.000
Pd 3.581 1.146 0.000
Pd 5.873 8.309 0.000
Pd 8.309 3.581 0.000
Pt 0.000 4.727 2.153
Pt 0.580 7.525 2.153
Pt 1.930 0.580 2.153
Pt 2.798 5.308 2.153
Pt 4.147 2.798 2.153
Pt 4.727 0.000 2.153
Pt 5.308 6.657 2.153
Pt 6.657 4.147 2.153
Pt 7.525 8.874 2.153
Pt 8.874 1.930 2.153

=====

10
Lattice="8.102 0.000 0.000 0.000 4.340 0.000 -3.689 0.000 7.215" Properties=species:S:1:pos:R:3 comment="PBE La2AgPdPt, optimized geometry" total_magnetization_mub_per_cell=0.00 delta_e_f_mev_per_atom=-716 spacegroup="P2_1/m, No. 11" pbc="T T T"
La -0.543 1.085 2.489
La 2.461 3.255 0.659
La 1.951 1.085 6.556
La 4.955 3.255 4.726
Ag 1.301 3.255 4.157
Ag 3.111 1.085 3.058
Pd -0.622 1.085 5.337
Pd 5.034 3.255 1.878
Pt -2.918 1.085 6.747
Pt 7.330 3.255 0.469

=====

4
Lattice="0.000 3.571 3.571 3.571 0.000 3.571 3.571 3.571 0.000" Properties=species:S:1:pos:R:3 comment="PBE LaAgSbPd, optimized geometry" total_magnetization_mub_per_cell=0.00 formation_energy_uncorrected_mev_per_atom=-605 spacegroup="F-43m, No. 216" pbc="T T T"
La 0.000 0.000 0.000
Ag 5.356 5.356 5.356
Sb 3.571 3.571 3.571
Pd 1.785 1.785 1.785

=====

15
Lattice="5.826 0.000 0.000 -2.913 5.045 0.000 0.000 0.000 10.832" Properties=species:S:1:pos:R:3 comment="PBE La3Si2AgPd9, optimized geometry" total_magnetization_mub_per_cell=0.00 formation_energy_uncorrected_mev_per_atom=-635 spacegroup="P-3m1, No. 164" pbc="T T T"
La 0.000 0.000 0.000
La 0.000 3.363 6.774
La 2.913 1.682 4.058
Si 0.000 3.363 1.704
Si 2.913 1.682 9.128
Ag 0.000 0.000 5.416
Pd -1.456 2.523 0.000
Pd 0.000 1.630 3.244
Pd -1.501 4.230 3.244
Pd 1.412 0.815 7.588
Pd 2.913 0.000 0.000
Pd 1.456 2.523 0.000
Pd 1.501 4.230 3.244
Pd 4.414 0.815 7.588
Pd 2.913 3.415 7.588

=====

18
Lattice="6.559 3.787 3.048 -6.559 3.787 3.048 0.000 -7.573 3.048" Properties=species:S:1:pos:R:3 comment="PBE La2Si3AgPd12, optimized geometry" total_magnetization_mub_per_cell=0.00 formation_energy_uncorrected_mev_per_atom=201 spacegroup="R-3m, No. 166" pbc="T T T"
La 0.000 0.000 1.843
La 0.000 0.000 7.300
Si -3.279 -1.893 3.048
Si -3.279 1.893 6.095
Si 0.000 3.787 3.048
Ag 0.000 0.000 4.572
Pd -4.501 -2.599 5.410
Pd 0.000 -5.197 3.733
Pd -4.501 2.599 3.733
Pd -2.290 -1.322 4.967
Pd 0.000 -2.644 4.176
Pd -2.290 1.322 4.176
Pd 2.290 -1.322 4.967
Pd 0.000 2.644 4.967
Pd 2.290 1.322 4.176
Pd 4.501 -2.599 5.410
Pd 0.000 5.197 5.410
Pd 4.501 2.599 3.733

=====

4
Lattice="0.000 3.560 3.560 3.560 0.000 3.560 3.560 3.560 0.000" Properties=species:S:1:pos:R:3 comment="PBE LaAgSnPd, optimized geometry" total_magnetization_mub_per_cell=0.00 delta_e_f_mev_per_atom=-596 spacegroup="F-43m, No. 216" pbc="T T T"
La 0.000 0.000 0.000
Ag 1.780 1.780 1.780
Sn 3.560 3.560 3.560
Pd 5.339 5.339 5.339

=====

10
Lattice="4.631 0.000 0.000 0.000 4.631 0.000 0.000 0.000 11.488" Properties=species:S:1:pos:R:3 comment="PBE La2Ag3Sn4Pd, optimized geometry" total_magnetization_mub_per_cell=0.00 delta_e_f_mev_per_atom=-498 spacegroup="P-4m2, No. 115" pbc="T T T"
La 0.000 2.316 2.708
La 2.316 0.000 8.780
Ag 0.000 0.000 0.000
Ag 0.000 2.316 7.375
Ag 2.316 0.000 4.113
Sn 0.000 0.000 5.744
Sn 0.000 2.316 10.044
Sn 2.316 0.000 1.444
Sn 2.316 2.316 5.744
Pd 2.316 2.316 0.000

=====

5
Lattice="5.235 0.000 0.000 0.000 5.235 0.000 0.000 0.000 5.136" Properties=species:S:1:pos:R:3 comment="PBE SrLaAgPd2, optimized geometry" total_magnetization_mub_per_cell=0.00 delta_e_f_mev_per_atom=183 spacegroup="P4/mmm, No. 123" pbc="T T T"
Sr 0.000 0.000 0.000
La 2.618 2.618 0.000
Ag 0.000 0.000 2.568
Pd 0.000 2.618 2.568
Pd 2.618 0.000 2.568

=====

| no. | VASP energy (Ha/atom) |
| --- | --- |
| 1 | -0.221 |
| 2 | -0.202 |
| 3 | -0.179 |
| 4 | -0.208 |
| 5 | -0.179 |
| 6 | -0.178 |
| 7 | -0.164 |
| 8 | -0.139 |